Version one
RbMn2C2 | PBE | optimized geometry

a = 8.1799 Å, b = 8.1799 Å, c = 3.0686 Å
α = 90.00°, β = 90.00°, γ = 90.00°
Atoms (fractional coordinates):
Rb1 0.0000 0.0000 0.0000
Rb2 0.5000 0.5000 0.0000
Mn1 0.0995 0.4005 0.0000
Mn2 0.4005 0.9005 0.0000
Mn3 0.5995 0.0995 0.0000
Mn4 0.9005 0.5995 0.0000
C1 0.0645 0.5645 0.5000
C2 0.4355 0.0645 0.5000
C3 0.5645 0.9355 0.5000
C4 0.9355 0.4355 0.5000

---

Version two
RbMn2C2 | PBE | optimized geometry

a = 6.8004 Å, b = 6.8004 Å, c = 6.8004 Å
α = 147.58°, β = 147.58°, γ = 46.50°
Atoms (fractional coordinates):
Rb1 0.0000 0.0000 0.0000
Mn1 0.2551 0.2551 0.0000
Mn2 0.7449 0.7449 0.0000
C1 0.2500 0.7500 0.5000
C2 0.7500 0.2500 0.5000

---

Among the structures above, stability is greatest for version two.